TbFe2SbO6 | PBE with a Hubbard U | relaxed

Properties
total DFT energy (no corrections): -6.9227 eV/atom
crystal system: monoclinic
space-group type: P2_1/c
ρ: 6.6 Mg/m³
D(E_F): 0.0000 states/eV per atom

Cell lengths 5.526, 5.596, 7.960 Å; angles 90.00, 89.67, 90.00 degrees
Site moments in Bohr magnetons follow the coordinates.
Sites, in units of the cell vectors:
Fe (0.511, 0.471, 0.228)  3.76
Fe (0.011, 0.029, 0.728)  3.76
Fe (0.489, 0.529, 0.772)  3.76
Fe (0.989, 0.971, 0.272)  3.76
Tb (0.500, 0.000, 0.000)  0.00
Tb (0.000, 0.500, 0.500)  0.00
O (0.375, 0.893, 0.730)  0.04
O (0.817, 0.846, 0.543)  0.04
O (0.317, 0.654, 0.043)  0.04
O (0.683, 0.346, 0.957)  0.04
O (0.125, 0.393, 0.770)  0.04
O (0.875, 0.607, 0.230)  0.04
O (0.150, 0.197, 0.094)  0.04
O (0.650, 0.303, 0.594)  0.04
O (0.183, 0.154, 0.457)  0.04
O (0.625, 0.107, 0.270)  0.04
O (0.850, 0.803, 0.906)  0.04
O (0.350, 0.697, 0.406)  0.04
Sb (0.500, 0.000, 0.500)  0.01
Sb (0.000, 0.500, 0.000)  0.01